A geometry-optimized Nd5Er2In2 structure, computed with PBE-GGA.

Computed properties:
energy of formation: -57 meV per atom

abc: 16.1848 10.6814 6.6477
angles: 90.00 90.00 90.00
Space group Ima2 (No. 46)
Asymmetric unit:
Nd  0.0574  0.2401  0.0000 x8
Nd  0.1503  0.6910  0.3572 x8
Nd  0.2500  0.1171  0.0055 x4
Er  0.0000  0.0000  0.6903 x4
Er  0.2500  0.0178  0.5085 x4
In  0.0876  0.5284  0.7466 x8